Entry 1:
4
Lattice="-0.559 1.650 -2.032 -1.526 -2.156 0.432 -5.222 4.758 5.299" Properties=species:S:1:pos:R:3 comment="Zn3Cr (PBE-GGA, relaxed)" dft_energy_ev_per_atom=-3.214 spacegroup=P-6m2 delta_e_f_ev_per_fu=0.6 pbc="T T T"
Cr 0.000 0.000 0.000
Zn -2.465 0.262 0.891
Zn -2.611 2.379 2.650
Zn -5.164 2.721 3.630

---

Entry 2:
4
Lattice="-2.385 1.051 -3.303 -0.565 -4.074 -0.888 -0.937 1.470 3.824" Properties=species:S:1:pos:R:3 comment="ZnCr3 (PBE-GGA, relaxed)" dft_energy_ev_per_atom=-7.317 spacegroup=I4/mmm delta_e_f_ev_per_fu=0.9 pbc="T T T"
Zn 0.000 0.000 0.000
Cr -2.399 0.504 -0.788
Cr -1.475 -1.512 -2.096
Cr -1.489 -2.058 0.420

---

Entry 3:
4
Lattice="4.095 0.000 0.000 -2.047 4.294 -0.002 0.000 1.011 2.766" Properties=species:S:1:pos:R:3 comment="ZnCr3 (PBE-GGA, relaxed)" dft_energy_ev_per_atom=-7.336 spacegroup=Immm delta_e_f_ev_per_fu=0.8 pbc="T T T"
Cr 0.000 1.150 2.715
Cr 0.000 2.400 0.691
Cr 0.000 4.660 1.432
Zn 2.047 2.905 2.073